An optimized crystal structure of CrAu3Br, computed with PBE.

The structure in POSCAR format:
```
CrAu3Br
1.0
-0.6703 4.5225 1.7634
-4.8179 -0.4028 -0.7984
-0.5919 -1.8430 4.5017
Cr Au Br
1 3 1
Direct
0.0000 0.0000 0.0000
0.0000 0.5000 0.0000
0.0000 0.0000 0.5000
0.5000 0.0000 0.0000
0.5000 0.5000 0.5000
```

Output
**SG**: No. 221
**Density**: 10.20 g/cm3
**Fermi-level density of states**: 0.94 states/eV per atom
**E_tot**: -3.149 eV per atom